# 1
The following is a PBE-GGA calculation of a relaxed Ba2CoTc crystal, from Alexandria.

Calculated values
The formation energy comes out at 0.540 eV/atom. Its energy above the most stable polymorph in this dataset is 193 meV/atom. The crystal system is orthorhombic.

Lattice parameters (Å, degrees): 4.0049 4.8039 13.7260 90.00 90.00 90.00
Closest atoms and distances in Å follow each position.
Space group Imm2 (No. 44)
Symmetry-distinct sites (fractional):
Ba (0.0000, 0.0000, 0.0000) [2 per cell]  2 Tc 3.33, 4 Co 3.39
Ba (0.0000, 0.5000, 0.2414) [2 per cell]  2 Co 3.29, 4 Tc 3.36
Co (0.0000, 0.0000, 0.4048) [2 per cell]  2 Tc 2.24
Tc (0.0000, 0.5000, 0.8318) [2 per cell]  2 Co 2.24


# 2
The following is a PBE-GGA calculation of a relaxed BaCoTc crystal, from Alexandria.

Calculated values
The formation energy comes out at 0.698 eV/atom. Its energy above the most stable polymorph in this dataset is 412 meV/atom. The crystal system is orthorhombic.

Lattice parameters (Å, degrees): 4.6431 4.6794 11.8669 90.00 90.00 90.00
Closest atoms and distances in Å follow each position.
Space group Fmm2 (No. 42)
Symmetry-distinct sites (fractional):
Ba (0.0000, 0.0000, 0.0000) [4 per cell]  5 Tc 3.27-3.54, 4 Ba 3.30, 5 Co 3.37-3.47
Co (0.0000, 0.0000, 0.7163) [4 per cell]  4 Tc 2.43-2.44
Tc (0.0000, 0.0000, 0.2758) [4 per cell]  4 Co 2.43-2.44


# 3
The following is a PBE-GGA calculation of a relaxed Ba2Co2Tc crystal, from Alexandria.

Calculated values
The formation energy comes out at 1.558 eV/atom. Its energy above the most stable polymorph in this dataset is 671 meV/atom. The crystal system is tetragonal.

Lattice parameters (Å, degrees): 8.4964 8.4964 3.2272 90.00 90.00 90.00
Closest atoms and distances in Å follow each position.
Space group P4/mbm (No. 127)
Symmetry-distinct sites (fractional):
Ba (0.1408, 0.3592, 0.0000) [4 per cell]  2 Co 2.77
Co (0.1723, 0.6723, 0.5000) [4 per cell]  2 Ba 2.77
Tc (0.0000, 0.0000, 0.0000) [2 per cell]  2 Tc 3.23, 4 Ba 3.28, 8 Co 3.54


# 4
The following is a PBE-GGA calculation of a relaxed BaCo2Tc2 crystal, from Alexandria.

Calculated values
The formation energy comes out at 0.477 eV/atom. Its energy above the most stable polymorph in this dataset is 0 meV/atom. The crystal system is tetragonal.

Lattice parameters (Å, degrees): 4.1687 4.1687 11.5124 90.00 90.00 90.00
Closest atoms and distances in Å follow each position.
Space group I4/mmm (No. 139)
Symmetry-distinct sites (fractional):
Ba (0.0000, 0.0000, 0.0000) [2 per cell]  8 Co 3.41, 8 Tc 3.55
Co (0.0000, 0.0000, 0.3511) [4 per cell]  4 Tc 2.39
Tc (0.0000, 0.5000, 0.2500) [4 per cell]  4 Co 2.39


# 5
The following is a PBE-GGA calculation of a relaxed BaCoTc crystal, from Alexandria.

Calculated values
The formation energy comes out at 1.496 eV/atom. Its energy above the most stable polymorph in this dataset is 1210 meV/atom. The crystal system is hexagonal.

Lattice parameters (Å, degrees): 5.4006 5.4006 8.6060 90.00 90.00 120.00
Closest atoms and distances in Å follow each position.
Space group P6_3/mmc (No. 194)
Symmetry-distinct sites (fractional):
Ba (0.3333, 0.6667, 0.2500) [2 per cell]  3 Tc 3.12
Co (0.0000, 0.0000, 0.0000) [2 per cell]  2 Tc 2.15
Tc (0.0000, 0.0000, 0.2500) [2 per cell]  2 Co 2.15


# 6
The following is a PBE-GGA calculation of a relaxed BaCoTc crystal, from Alexandria.

Calculated values
The formation energy comes out at 0.340 eV/atom. Its energy above the most stable polymorph in this dataset is 54 meV/atom. The crystal system is triclinic.

Lattice parameters (Å, degrees): 4.2017 4.2027 10.8825 79.32 79.25 60.13
Closest atoms and distances in Å follow each position.
Space group P-1 (No. 2)
Symmetry-distinct sites (fractional):
Ba (0.2378, 0.2400, 0.2960) [2 per cell]  3 Co 3.12, 1 Tc 3.27
Co (0.0361, 0.0353, 0.8879) [2 per cell]  1 Co 2.38, 3 Tc 2.65
Tc (0.3371, 0.3369, 0.9882) [2 per cell]  3 Tc 2.44, 3 Co 2.65


# 7
The following is a PBE-GGA calculation of a relaxed BaCo2Tc2 crystal, from Alexandria.

Calculated values
The formation energy comes out at 0.747 eV/atom. Its energy above the most stable polymorph in this dataset is 270 meV/atom. The crystal system is tetragonal.

Lattice parameters (Å, degrees): 7.7784 7.7784 2.7800 90.00 90.00 90.00
Closest atoms and distances in Å follow each position.
Space group P4/mbm (No. 127)
Symmetry-distinct sites (fractional):
Ba (0.0000, 0.0000, 0.0000) [2 per cell]  2 Ba 2.78
Co (0.1127, 0.3873, 0.0000) [4 per cell]  1 Co 2.48, 4 Tc 2.55
Tc (0.1578, 0.6578, 0.5000) [4 per cell]  4 Co 2.55, 2 Tc 2.78


# 8
The following is a PBE-GGA calculation of a relaxed BaCoTc crystal, from Alexandria.

Calculated values
The formation energy comes out at 0.396 eV/atom. Its energy above the most stable polymorph in this dataset is 110 meV/atom. The crystal system is triclinic.

Lattice parameters (Å, degrees): 3.9325 4.6374 10.2695 81.65 89.87 65.02
Closest atoms and distances in Å follow each position.
Space group P1 (No. 1)
Symmetry-distinct sites (fractional):
Ba (0.0000, 0.0000, 0.0000) [1 per cell]  4 Tc 3.26-3.54, 2 Co 3.52-3.53
Ba (0.3519, 0.3097, 0.3998) [1 per cell]  4 Co 3.17-3.36, 2 Tc 3.44
Co (0.0709, 0.8639, 0.5916) [1 per cell]  2 Tc 2.34-2.46, 2 Co 2.43
Co (0.5204, 0.9637, 0.7178) [1 per cell]  2 Co 2.43, 4 Tc 2.47-2.66
Tc (0.2564, 0.4983, 0.7890) [1 per cell]  2 Co 2.34-2.47, 2 Tc 2.41
Tc (0.8106, 0.3896, 0.6677) [1 per cell]  2 Tc 2.41, 4 Co 2.46-2.66


# 9
The following is a PBE-GGA calculation of a relaxed Ba2CoTc crystal, from Alexandria.

Calculated values
The formation energy comes out at 1.115 eV/atom. Its energy above the most stable polymorph in this dataset is 768 meV/atom. The crystal system is cubic.

Lattice parameters (Å, degrees): 7.5127 7.5127 7.5127 90.00 90.00 90.00
Closest atoms and distances in Å follow each position.
Space group F-43m (No. 216)
Symmetry-distinct sites (fractional):
Ba (0.0000, 0.0000, 0.0000) [4 per cell]  4 Co 3.25, 4 Ba 3.25
Ba (0.2500, 0.2500, 0.2500) [4 per cell]  4 Ba 3.25, 4 Tc 3.25
Co (0.2500, 0.2500, 0.7500) [4 per cell]  4 Tc 3.25, 4 Ba 3.25
Tc (0.0000, 0.0000, 0.5000) [4 per cell]  4 Ba 3.25, 4 Co 3.25


# 10
The following is a PBE-GGA calculation of a relaxed Ba2CoTc crystal, from Alexandria.

Calculated values
The formation energy comes out at 0.625 eV/atom. Its energy above the most stable polymorph in this dataset is 279 meV/atom. The crystal system is orthorhombic.

Lattice parameters (Å, degrees): 4.4973 5.3011 9.6522 90.00 90.00 90.00
Closest atoms and distances in Å follow each position.
Space group Cmm2 (No. 35)
Symmetry-distinct sites (fractional):
Ba (0.0000, 0.0000, 0.0000) [2 per cell]  1 Tc 3.04, 2 Co 3.23
Ba (0.0000, 0.5000, 0.4341) [2 per cell]  1 Co 3.14, 2 Tc 3.31, 4 Ba 3.48
Co (0.0000, 0.5000, 0.7592) [2 per cell]  2 Tc 2.36
Tc (0.0000, 0.0000, 0.6855) [2 per cell]  2 Co 2.36


# 11
The following is a PBE-GGA calculation of a relaxed BaCoTc crystal, from Alexandria.

Calculated values
The formation energy comes out at 1.274 eV/atom. Its energy above the most stable polymorph in this dataset is 988 meV/atom. The crystal system is cubic.

Lattice parameters (Å, degrees): 6.6176 6.6176 6.6176 90.00 90.00 90.00
Closest atoms and distances in Å follow each position.
Space group F-43m (No. 216)
Symmetry-distinct sites (fractional):
Ba (0.0000, 0.0000, 0.0000) [4 per cell]  4 Co 2.87
Co (0.2500, 0.2500, 0.2500) [4 per cell]  4 Ba 2.87, 4 Tc 2.87
Tc (0.0000, 0.0000, 0.5000) [4 per cell]  4 Co 2.87


# 12
The following is a PBE-GGA calculation of a relaxed BaCoTc crystal, from Alexandria.

Calculated values
The formation energy comes out at 0.363 eV/atom. Its energy above the most stable polymorph in this dataset is 78 meV/atom. The crystal system is monoclinic.

Lattice parameters (Å, degrees): 7.2842 4.2064 10.9766 90.00 102.85 90.00
Closest atoms and distances in Å follow each position.
Space group Cm (No. 8)
Symmetry-distinct sites (fractional):
Ba (0.0000, 0.0000, 0.0000) [2 per cell]  3 Co 3.16, 1 Tc 3.23
Ba (0.2025, 0.0000, 0.6033) [2 per cell]  3 Co 3.16, 1 Tc 3.23
Co (0.2301, 0.5000, 0.1890) [2 per cell]  1 Co 2.41
Co (0.3057, 0.5000, 0.4142) [2 per cell]  1 Co 2.41
Tc (0.1012, 0.0000, 0.3015) [2 per cell]  3 Tc 2.43, 6 Co 2.71
Tc (0.4346, 0.0000, 0.3016) [2 per cell]  3 Tc 2.43, 6 Co 2.71


# 13
The following is a PBE-GGA calculation of a relaxed Ba2CoTc crystal, from Alexandria.

Calculated values
The formation energy comes out at 1.078 eV/atom. Its energy above the most stable polymorph in this dataset is 732 meV/atom. The crystal system is tetragonal.

Lattice parameters (Å, degrees): 5.6095 5.6095 3.6807 90.00 90.00 90.00
Closest atoms and distances in Å follow each position.
Space group P4/mmm (No. 123)
Symmetry-distinct sites (fractional):
Ba (0.0000, 0.5000, 0.0000) [2 per cell]  4 Co 3.35, 4 Tc 3.35, 2 Ba 3.68
Co (0.0000, 0.0000, 0.5000) [1 per cell]  8 Ba 3.35, 2 Co 3.68
Tc (0.5000, 0.5000, 0.5000) [1 per cell]  8 Ba 3.35, 2 Tc 3.68


# 14
The following is a PBE-GGA calculation of a relaxed BaCoTc crystal, from Alexandria.

Calculated values
The formation energy comes out at 0.549 eV/atom. Its energy above the most stable polymorph in this dataset is 263 meV/atom. The crystal system is hexagonal.

Lattice parameters (Å, degrees): 3.9728 3.9728 5.3194 90.00 90.00 120.00
Closest atoms and distances in Å follow each position.
Space group P-6m2 (No. 187)
Symmetry-distinct sites (fractional):
Ba (0.0000, 0.0000, 0.0000) [1 per cell]  6 Co 3.51, 6 Tc 3.51
Co (0.6667, 0.3333, 0.5000) [1 per cell]  3 Tc 2.29
Tc (0.3333, 0.6667, 0.5000) [1 per cell]  3 Co 2.29


no.,magnetization (μB per atom),uncorrected energy (eV per cell)
1,0.0001,-38.32
2,0.0002,-69.20
3,0.3240,-41.27
4,0.5843,-68.96
5,0.7468,-29.82
6,0.0000,-36.75
7,0.1793,-66.26
8,0.3292,-36.42
9,0.9942,-67.44
10,0.0000,-37.63
11,1.3333,-62.29
12,0.0015,-73.22
13,0.9890,-17.00
14,0.0000,-17.75